Computed, not measured: a geometry-optimized BaNiOs2 structure at the GGA-PBE level of DFT.

Properties
As for the energy relative to the lowest polymorph listed for this composition: 981.9 meV/atom. The calculation puts the formation energy at 1201 meV per atom. Its total magnetization is 0.00 μB/f.u. As for the space group: C2/m (12).

Cell: 6.0736 6.0736 2.9231 Å, 102.81 102.81 127.47°
Last column: nearest neighbours and their distance in Å.
Fractional positions:
Ba  0.0000  0.0000  0.0000  4 Ni 2.69-2.81, 2 Ba 2.92
Ni  0.5000  0.5000  0.0000  4 Ba 2.69-2.81, 2 Ni 2.92
Os  0.0000  0.5000  0.5000  6 Os 2.69-2.92
Os  0.5000  0.0000  0.5000  6 Os 2.69-2.92

Computed, not measured: a geometry-optimized Ba2NiOs structure at the GGA-PBE level of DFT.

Properties
As for the energy relative to the lowest polymorph listed for this composition: 554.6 meV/atom. The calculation puts the formation energy at 878 meV per atom. Its total magnetization is 1.40 μB/f.u. As for the space group: Cmmm (65).

Cell: 5.6791 5.6791 3.4051 Å, 90.00 90.00 90.07°
Last column: nearest neighbours and their distance in Å.
Fractional positions:
Ba  0.0000  0.5000  0.0000  4 Os 3.31, 4 Ni 3.31, 2 Ba 3.41
Ba  0.5000  0.0000  0.0000  4 Os 3.31, 4 Ni 3.31, 2 Ba 3.41
Ni  0.0000  0.0000  0.5000  8 Ba 3.31, 2 Ni 3.41
Os  0.5000  0.5000  0.5000  8 Ba 3.31, 2 Os 3.41

Computed, not measured: a geometry-optimized Ba2NiOs structure at the GGA-PBE level of DFT.

Properties
As for the energy relative to the lowest polymorph listed for this composition: 224.5 meV/atom. The calculation puts the formation energy at 548 meV per atom. Its total magnetization is 0.79 μB/f.u. As for the space group: P4mm (99).

Cell: 3.5064 3.5064 9.3749 Å, 90.00 90.00 90.00°
Last column: nearest neighbours and their distance in Å.
Fractional positions:
Ba  0.0000  0.0000  0.0000  1 Ni 2.94
Ba  0.5000  0.5000  0.4424  1 Os 2.90
Ni  0.0000  0.0000  0.6865  4 Os 2.55
Os  0.5000  0.5000  0.7517  4 Ni 2.55

Computed, not measured: a geometry-optimized BaNi2Os structure at the GGA-PBE level of DFT.

Properties
As for the energy relative to the lowest polymorph listed for this composition: 12.0 meV/atom. The calculation puts the formation energy at 164 meV per atom. Its total magnetization is 0.00 μB/f.u. As for the space group: Cm (8).

Cell: 4.2004 4.2004 6.1641 Å, 110.01 110.01 60.01°
Last column: nearest neighbours and their distance in Å.
Fractional positions:
Ba  0.0000  0.0000  0.0000  1 Ni 3.05, 1 Os 3.09
Ni  0.5002  0.5002  0.5002  3 Ni 2.43, 3 Os 2.44
Ni  0.8208  0.8208  0.4619  3 Ni 2.43, 3 Os 2.47
Os  0.1824  0.1824  0.5465  6 Ni 2.44-2.47

Computed, not measured: a geometry-optimized BaNi3Os structure at the GGA-PBE level of DFT.

Properties
As for the energy relative to the lowest polymorph listed for this composition: 0.0 meV/atom. The calculation puts the formation energy at 616 meV per atom. Its total magnetization is 0.00 μB/f.u. As for the space group: Pm-3m (221).

Cell: 4.6900 4.6900 4.6900 Å, 90.00 90.00 90.00°
Last column: nearest neighbours and their distance in Å.
Fractional positions:
Ba  0.0000  0.0000  0.0000  12 Ni 3.32
Ni  0.0000  0.5000  0.5000  2 Os 2.35
Ni  0.5000  0.0000  0.5000  2 Os 2.35
Ni  0.5000  0.5000  0.0000  2 Os 2.35
Os  0.5000  0.5000  0.5000  6 Ni 2.35

Computed, not measured: a geometry-optimized BaNi3Os structure at the GGA-PBE level of DFT.

Properties
As for the energy relative to the lowest polymorph listed for this composition: 1985.6 meV/atom. The calculation puts the formation energy at 2602 meV per atom. Its total magnetization is 0.00 μB/f.u. As for the space group: Pm-3m (221).

Cell: 4.6825 4.6825 4.6825 Å, 90.00 90.00 90.00°
Last column: nearest neighbours and their distance in Å.
Fractional positions:
Ba  0.0000  0.0000  0.0000  6 Ni 2.34
Ni  0.0000  0.0000  0.5000  2 Ba 2.34
Ni  0.0000  0.5000  0.0000  2 Ba 2.34
Ni  0.5000  0.0000  0.0000  2 Ba 2.34
Os  0.5000  0.5000  0.5000  12 Ni 3.31

Computed, not measured: a geometry-optimized BaNiOs3 structure at the GGA-PBE level of DFT.

Properties
As for the energy relative to the lowest polymorph listed for this composition: 2356.1 meV/atom. The calculation puts the formation energy at 4022 meV per atom. Its total magnetization is 5.57 μB/f.u. As for the space group: Pm-3m (221).

Cell: 5.0247 5.0247 5.0247 Å, 90.00 90.00 90.00°
Last column: nearest neighbours and their distance in Å.
Fractional positions:
Ba  0.0000  0.0000  0.0000  6 Os 2.51
Ni  0.5000  0.5000  0.5000  12 Os 3.55
Os  0.0000  0.0000  0.5000  2 Ba 2.51
Os  0.0000  0.5000  0.0000  2 Ba 2.51
Os  0.5000  0.0000  0.0000  2 Ba 2.51

Computed, not measured: a geometry-optimized BaNi2Os structure at the GGA-PBE level of DFT.

Properties
As for the energy relative to the lowest polymorph listed for this composition: 372.2 meV/atom. The calculation puts the formation energy at 524 meV per atom. Its total magnetization is 0.57 μB/f.u. As for the space group: P4/mmm (123).

Cell: 3.1752 3.1752 7.2639 Å, 90.00 90.00 90.00°
Last column: nearest neighbours and their distance in Å.
Fractional positions:
Ba  0.0000  0.0000  0.0000  4 Ba 3.18, 8 Ni 3.31
Ni  0.5000  0.5000  0.3357  1 Ni 2.39, 4 Os 2.54
Ni  0.5000  0.5000  0.6643  1 Ni 2.39, 4 Os 2.54
Os  0.0000  0.0000  0.5000  8 Ni 2.54

Computed, not measured: a geometry-optimized BaNi4Os structure at the GGA-PBE level of DFT.

Properties
The calculation puts the formation energy at 647 meV per atom. Its total magnetization is 4.08 μB/f.u. As for the space group: F-43m (216).

Cell: 5.0656 5.0656 5.0656 Å, 60.00 60.00 60.00°
Last column: nearest neighbours and their distance in Å.
Fractional positions:
Ba  0.0000  0.0000  0.0000  12 Ni 2.97, 4 Os 3.10
Ni  0.1297  0.6234  0.6234  6 Ni 2.50-2.56
Ni  0.6234  0.1297  0.6234  6 Ni 2.50-2.56
Ni  0.6234  0.6234  0.1297  6 Ni 2.50-2.56
Ni  0.6234  0.6234  0.6234  6 Ni 2.50-2.56
Os  0.2500  0.2500  0.2500  12 Ni 2.97, 4 Ba 3.10

Computed, not measured: a geometry-optimized BaNi2Os structure at the GGA-PBE level of DFT.

Properties
As for the energy relative to the lowest polymorph listed for this composition: 734.5 meV/atom. The calculation puts the formation energy at 887 meV per atom. Its total magnetization is 0.00 μB/f.u. As for the space group: Imm2 (44).

Cell: 5.7776 5.7776 5.7776 Å, 151.08 130.01 58.79°
Last column: nearest neighbours and their distance in Å.
Fractional positions:
Ba  0.0000  0.0000  0.0000  6 Ni 2.84-3.17, 2 Ba 2.89
Ni  0.4968  0.4968  0.0000  2 Os 2.57, 2 Ni 2.66, 4 Ba 2.84
Ni  0.7193  0.2193  0.5000  4 Ni 2.66-2.89, 4 Os 2.91
Os  0.2857  0.7857  0.5000  2 Ni 2.57

Computed, not measured: a geometry-optimized BaNi2Os structure at the GGA-PBE level of DFT.

Properties
As for the energy relative to the lowest polymorph listed for this composition: 878.7 meV/atom. The calculation puts the formation energy at 1031 meV per atom. Its total magnetization is 2.47 μB/f.u. As for the space group: Fm-3m (225).

Cell: 4.6904 4.6904 4.6904 Å, 60.00 60.00 60.00°
Last column: nearest neighbours and their distance in Å.
Fractional positions:
Ba  0.0000  0.0000  0.0000  8 Ni 2.87
Ni  0.2500  0.2500  0.2500  4 Ba 2.87, 4 Os 2.87
Ni  0.7500  0.7500  0.7500  4 Os 2.87, 4 Ba 2.87
Os  0.5000  0.5000  0.5000  8 Ni 2.87

Computed, not measured: a geometry-optimized BaNiOs4 structure at the GGA-PBE level of DFT.

Properties
The calculation puts the formation energy at 1074 meV per atom. Its total magnetization is 2.01 μB/f.u. As for the space group: F-43m (216).

Cell: 5.3793 5.3793 5.3793 Å, 60.00 60.00 60.00°
Last column: nearest neighbours and their distance in Å.
Fractional positions:
Ba  0.0000  0.0000  0.0000  12 Os 3.16, 4 Ni 3.29
Ni  0.2500  0.2500  0.2500  12 Os 3.15, 4 Ba 3.29
Os  0.1289  0.6237  0.6237  6 Os 2.66-2.72
Os  0.6237  0.1289  0.6237  6 Os 2.66-2.72
Os  0.6237  0.6237  0.1289  6 Os 2.66-2.72
Os  0.6237  0.6237  0.6237  6 Os 2.66-2.72

Computed, not measured: a geometry-optimized Ba2NiOs structure at the GGA-PBE level of DFT.

Properties
As for the energy relative to the lowest polymorph listed for this composition: 679.4 meV/atom. The calculation puts the formation energy at 1003 meV per atom. Its total magnetization is 1.13 μB/f.u. As for the space group: I-4m2 (119).

Cell: 6.0427 6.0427 6.0427 Å, 135.90 135.90 64.13°
Last column: nearest neighbours and their distance in Å.
Fractional positions:
Ba  0.0000  0.0000  0.0000  4 Ni 3.21, 4 Ba 3.42, 4 Os 3.42
Ba  0.7500  0.2500  0.5000  4 Os 3.21, 4 Ba 3.42, 4 Ni 3.42
Ni  0.5000  0.5000  0.0000  8 Ba 3.21-3.42, 4 Os 3.42
Os  0.2500  0.7500  0.5000  8 Ba 3.21-3.42, 4 Ni 3.42

Computed, not measured: a geometry-optimized BaNiOs2 structure at the GGA-PBE level of DFT.

Properties
As for the energy relative to the lowest polymorph listed for this composition: 1456.7 meV/atom. The calculation puts the formation energy at 1676 meV per atom. Its total magnetization is 3.19 μB/f.u. As for the space group: Fm-3m (225).

Cell: 4.6956 4.6956 4.6956 Å, 60.00 60.00 60.00°
Last column: nearest neighbours and their distance in Å.
Fractional positions:
Ba  0.0000  0.0000  0.0000  8 Os 2.88
Ni  0.5000  0.5000  0.5000  8 Os 2.88
Os  0.2500  0.2500  0.2500  4 Ba 2.88, 4 Ni 2.88
Os  0.7500  0.7500  0.7500  4 Ba 2.88, 4 Ni 2.88